Record 1
Compound: LaCdOs2
Source: Alexandria via LeMat-Bulk
Functional: PBE
Structure: relaxed

## Properties
DFT formation energy ... 0.8155 eV/atom
Final energy ... -25.040 eV per formula unit

Cell: 2.9175 2.9175 30.2626 Å, 90.00 90.00 120.00°
With the nearest neighbours (Å) after each atom.
Space group R-3m (No. 166, hexagonal axes)
Symmetry-distinct sites (fractional):
La: 0.0000 0.0000 0.0000 (multiplicity 3)  6 La 2.92, 6 Os 3.17
Cd: 0.0000 0.0000 0.5000 (multiplicity 3)  6 Os 2.90, 6 Cd 2.92
Os: 0.0000 0.0000 0.2445 (multiplicity 6)  3 Cd 2.90, 6 Os 2.92, 3 La 3.17

***

Record 2
Compound: BeZnRe2
Source: Alexandria via LeMat-Bulk
Functional: PBE
Structure: relaxed

## Properties
DFT formation energy ... 0.1554 eV/atom
Final energy ... -29.275 eV per formula unit

Cell: 3.0549 4.1992 8.0250 Å, 90.00 90.00 90.00°
With the nearest neighbours (Å) after each atom.
Space group Imm2 (No. 44)
Symmetry-distinct sites (fractional):
Be: 0.0000 0.0000 0.0000 (multiplicity 2)  2 Zn 2.32, 6 Re 2.42-2.60
Zn: 0.0000 0.5000 0.2824 (multiplicity 2)  2 Be 2.32
Re: 0.0000 0.0000 0.5105 (multiplicity 2)  4 Be 2.60, 4 Zn 2.66-2.79, 4 Re 2.69-2.76
Re: 0.0000 0.5000 0.7341 (multiplicity 2)  2 Be 2.42, 4 Zn 2.63, 2 Re 2.69

***

Record 3
Compound: SiTe
Source: Alexandria via LeMat-Bulk
Functional: PBE
Structure: relaxed

## Properties
Formation energy from raw total energies ... 214 meV per atom
Final energy ... -8.136 eV per formula unit

Cell: 3.9833 14.3646 6.0713 Å, 90.00 90.00 90.00°
With the nearest neighbours (Å) after each atom.
Space group Imm2 (No. 44)
Symmetry-distinct sites (fractional):
Si: 0.0000 0.0000 0.0000 (multiplicity 2)  2 Si 2.58, 2 Te 2.63
Si: 0.0000 0.1794 0.0047 (multiplicity 4)  1 Si 2.58, 3 Te 2.70-2.72
Te: 0.0000 0.1958 0.4504 (multiplicity 4)  3 Si 2.70-2.72
Te: 0.0000 0.5000 0.2162 (multiplicity 2)  2 Si 2.63

***

Record 4
Compound: Pr2PaAl2Ru5
Source: Alexandria via LeMat-Bulk
Functional: PBE
Structure: relaxed

## Properties
DFT formation energy ... -0.4534 eV/atom
Final energy ... -77.453 eV per formula unit

Cell: 10.3520 10.3520 3.4427 Å, 90.00 90.00 90.00°
With the nearest neighbours (Å) after each atom.
Space group P4/mbm (No. 127)
Symmetry-distinct sites (fractional):
Pr: 0.1714 0.3286 0.0000 (multiplicity 4)  3 Al 2.98-3.11, 10 Ru 3.04-3.28
Pa: 0.0000 0.0000 0.0000 (multiplicity 2)  8 Ru 2.80
Al: 0.1252 0.6252 0.0000 (multiplicity 4)  6 Ru 2.51-2.55
Ru: 0.0000 0.5000 0.5000 (multiplicity 2)  4 Al 2.51
Ru: 0.0675 0.7976 0.5000 (multiplicity 8)  2 Al 2.55, 2 Pa 2.80

***

Record 5
Compound: Li2YSF
Source: Alexandria via LeMat-Bulk
Functional: PBE
Structure: relaxed

## Properties
Formation energy from raw total energies ... -1543 meV per atom
Final energy ... -24.005 eV per formula unit

Cell: 3.8655 3.8655 5.6113 Å, 90.00 90.00 90.00°
With the nearest neighbours (Å) after each atom.
Space group P4/mmm (No. 123)
Symmetry-distinct sites (fractional):
Li: 0.0000 0.5000 0.0000 (multiplicity 2)  2 F 1.93
Y: 0.0000 0.0000 0.5000 (multiplicity 1)  4 S 2.73, 2 F 2.81
S: 0.5000 0.5000 0.5000 (multiplicity 1)  4 Y 2.73
F: 0.0000 0.0000 0.0000 (multiplicity 1)  4 Li 1.93

***

Record 6
Compound: SnGe4
Source: Alexandria via LeMat-Bulk
Functional: PBE
Structure: relaxed

## Properties
DFT formation energy ... 1.0193 eV/atom
Final energy ... -17.376 eV per formula unit

Cell: 5.2652 5.2652 5.2652 Å, 90.00 90.00 90.00°
With the nearest neighbours (Å) after each atom.
Space group Pm-3m (No. 221)
Symmetry-distinct sites (fractional):
Sn: 0.0000 0.0000 0.0000 (multiplicity 1)  6 Ge 2.63
Ge: 0.0000 0.0000 0.5000 (multiplicity 3)  2 Sn 2.63
Ge: 0.5000 0.5000 0.5000 (multiplicity 1)  12 Ge 3.72

***

Record 7
Compound: RbUNiS2
Source: Alexandria via LeMat-Bulk
Functional: PBE
Structure: relaxed

## Properties
Formation energy from raw total energies ... -872 meV per atom
Final energy ... -30.654 eV per formula unit

Cell: 8.1963 4.4567 7.3555 Å, 90.00 100.62 90.00°
With the nearest neighbours (Å) after each atom.
Space group P2/c (No. 13)
Symmetry-distinct sites (fractional):
Rb: 0.0000 0.2209 0.2500 (multiplicity 2)  6 S 3.32-3.40
U: 0.5000 0.4929 0.7500 (multiplicity 2)  4 S 2.76-2.77, 4 Ni 2.86-2.91
Ni: 0.5000 0.0000 0.0000 (multiplicity 2)  2 S 2.18
S: 0.2757 0.2736 0.9573 (multiplicity 4)  1 Ni 2.18

***

Record 8
Compound: TlAs2Ru
Source: Alexandria via LeMat-Bulk
Functional: PBE
Structure: relaxed

## Properties
DFT formation energy ... -0.0042 eV/atom
Final energy ... -20.958 eV per formula unit
Relative energy among the computed polymorphs ... 3.0 kJ per mole of atoms

Cell: 3.0643 3.1111 17.7447 Å, 90.00 90.00 90.00°
With the nearest neighbours (Å) after each atom.
Space group Imm2 (No. 44)
Symmetry-distinct sites (fractional):
Tl: 0.0000 0.0000 0.0000 (multiplicity 2)  4 Tl 3.06-3.11, 2 As 3.31
As: 0.0000 0.0000 0.3502 (multiplicity 2)  2 Ru 2.50
As: 0.0000 0.5000 0.1646 (multiplicity 2)  4 Ru 2.55
Ru: 0.0000 0.5000 0.7387 (multiplicity 2)  6 As 2.50-2.55

***

Record 9
Compound: SrAuCl2
Source: Alexandria via LeMat-Bulk
Functional: PBE
Structure: relaxed

## Properties
Formation energy from raw total energies ... -1173 meV per atom
Final energy ... -13.343 eV per formula unit
Relative energy among the computed polymorphs ... 6.0 kJ per mole of atoms

Cell: 3.5220 3.5220 10.5321 Å, 90.00 90.00 90.00°
With the nearest neighbours (Å) after each atom.
Space group P4/mmm (No. 123)
Symmetry-distinct sites (fractional):
Sr: 0.0000 0.0000 0.0000 (multiplicity 1)  8 Cl 2.98
Au: 0.0000 0.0000 0.5000 (multiplicity 1)  4 Au 3.52
Cl: 0.5000 0.5000 0.1556 (multiplicity 2)  4 Sr 2.98, 1 Cl 3.28

***

Record 10
Compound: La3Ce2TmSb6
Source: Alexandria via LeMat-Bulk
Functional: PBE
Structure: relaxed

## Properties
Formation energy from raw total energies ... -1160 meV per atom
Final energy ... -69.772 eV per formula unit

Cell: 7.8542 13.6044 7.8688 Å, 90.00 109.46 90.00°
With the nearest neighbours (Å) after each atom.
Space group C2/m (No. 12)
Symmetry-distinct sites (fractional):
La: 0.0000 0.0000 0.0000 (multiplicity 2)  6 Sb 3.25-3.28
La: 0.0000 0.3317 0.0000 (multiplicity 4)  6 Sb 3.25-3.27
Ce: 0.0000 0.1661 0.5000 (multiplicity 4)  6 Sb 3.18
Tm: 0.0000 0.5000 0.5000 (multiplicity 2)  6 Sb 3.13-3.14
Sb: 0.2437 0.3355 0.7382 (multiplicity 8)  1 Tm 3.13, 2 Ce 3.18, 3 La 3.25-3.27
Sb: 0.2484 0.5000 0.2595 (multiplicity 4)  1 Tm 3.14, 2 Ce 3.18, 3 La 3.25-3.28

***

Record 11
Compound: Ta3Nb4Au
Source: Alexandria via LeMat-Bulk
Functional: PBE
Structure: relaxed

## Properties
DFT formation energy ... -0.0309 eV/atom
Final energy ... -79.361 eV per formula unit
Relative energy among the computed polymorphs ... 0.0 kJ per mole of atoms

Cell: 3.3906 4.6970 9.1145 Å, 90.00 90.00 90.00°
With the nearest neighbours (Å) after each atom.
Space group Pmmm (No. 47)
Symmetry-distinct sites (fractional):
Ta: 0.0000 0.0000 0.0000 (multiplicity 1)  8 Nb 2.82-2.90
Ta: 0.0000 0.5000 0.2524 (multiplicity 2)  8 Nb 2.82-2.90
Nb: 0.5000 0.0000 0.2474 (multiplicity 2)  6 Ta 2.82-2.90, 2 Au 2.86
Nb: 0.5000 0.5000 0.0000 (multiplicity 1)  8 Ta 2.86-2.90
Nb: 0.5000 0.5000 0.5000 (multiplicity 1)  4 Ta 2.82, 4 Au 2.90
Au: 0.0000 0.0000 0.5000 (multiplicity 1)  8 Nb 2.86-2.90

***

Record 12
Compound: Pr5SbIr2
Source: Alexandria via LeMat-Bulk
Functional: PBE
Structure: relaxed

## Properties
Formation energy from raw total energies ... -697 meV per atom
Final energy ... -51.315 eV per formula unit

Cell: 8.1296 8.1296 13.8018 Å, 90.00 90.00 90.00°
With the nearest neighbours (Å) after each atom.
Space group I4/mcm (No. 140)
Symmetry-distinct sites (fractional):
Pr: 0.0000 0.0000 0.0000 (multiplicity 4)  4 Ir 3.15, 2 Sb 3.45
Pr: 0.1588 0.3412 0.1350 (multiplicity 16)  3 Ir 2.98-3.06
Sb: 0.0000 0.0000 0.2500 (multiplicity 4)  10 Pr 3.45
Ir: 0.1388 0.3612 0.5000 (multiplicity 8)  8 Pr 2.98-3.15, 1 Ir 3.19